(w)
## BiF5 (PBE-GGA)

Data for a relaxed structure of BiF5.

The structure in POSCAR format:
```
BiF5
1.0
-3.447 3.447 2.176
3.447 -3.447 2.176
3.447 3.447 -2.176
Bi F
1 5
Direct
0.000 0.000 0.000 Bi
0.089 0.722 0.811 F
0.278 0.089 0.367 F
0.500 0.500 0.000 F
0.722 0.911 0.633 F
0.911 0.278 0.189 F
```

Values from the calculation:
**Mass density**: 4.88 Mg/m³
**Magnetic moment**: 0.0 μB per cell
**DOS(E_F)**: 0.00 states/eV/atom

(x)
## BiF5 (PBE-GGA)

Data for a relaxed structure of BiF5.

The structure in POSCAR format:
```
BiF5
1.0
-1.945 2.375 4.892
1.945 -2.375 4.892
1.945 2.375 -4.892
Bi F
1 5
Direct
0.000 0.000 0.000 Bi
0.206 0.206 0.000 F
0.239 0.500 0.739 F
0.500 0.000 0.500 F
0.761 0.500 0.261 F
0.794 0.794 0.000 F
```

Values from the calculation:
**Mass density**: 5.58 Mg/m³
**Magnetic moment**: 0.0 μB per cell
**DOS(E_F)**: 0.30 states/eV/atom

Most stable structure, least stable structure: (w), (x).